VASP calculation (GGA+U) on a geometry-optimized KNdSnWO6 structure.

a b c (Å): 6.0569 6.0569 8.5373
angles (deg): 90.00 90.00 90.00
With the nearest neighbours (Å) after each atom.
Element x y z (fractional)
K: 0.0000 0.0000 0.2500  12 O 3.03-3.07
K: 0.0000 0.0000 0.7500  12 O 3.03-3.07
Nd: 0.0000 0.5000 0.0000  6 O 2.32-2.33
Nd: 0.5000 0.0000 0.5000  6 O 2.32-2.33
Sn: 0.5000 0.5000 0.2500  12 O 2.99-3.03
Sn: 0.5000 0.5000 0.7500  12 O 2.99-3.03
W: 0.0000 0.5000 0.5000  6 O 1.95-1.96
W: 0.5000 0.0000 0.0000  6 O 1.95-1.96
O: 0.0000 0.5000 0.2722  1 W 1.95
O: 0.0000 0.5000 0.7278  1 W 1.95
O: 0.2352 0.2786 0.5000  1 W 1.96
O: 0.2352 0.7214 0.5000  1 W 1.96
O: 0.2786 0.2352 0.0000  1 W 1.96
O: 0.2786 0.7648 0.0000  1 W 1.96
O: 0.5000 0.0000 0.2278  1 W 1.95
O: 0.5000 0.0000 0.7722  1 W 1.95
O: 0.7214 0.2352 0.0000  1 W 1.96
O: 0.7214 0.7648 0.0000  1 W 1.96
O: 0.7648 0.2786 0.5000  1 W 1.96
O: 0.7648 0.7214 0.5000  1 W 1.96

spin magnetization: 0.00 μB/f.u.
energy above the lowest structure with this stoichiometry: 0 meV per atom
E: -6.80 eV per atom